P:
# CePr2Ga (PBE, relaxed)
data_CePr2Ga
_cell_length_a 4.9077
_cell_length_b 4.9077
_cell_length_c 4.6480
_cell_angle_alpha 90.00
_cell_angle_beta 90.00
_cell_angle_gamma 90.00
_space_group_name_H-M_alt 'P 4/m m m'
_space_group_IT_number 123
_space_group_name_Hall '-P 4 2'
loop_
_atom_site_label
_atom_site_type_symbol
_atom_site_fract_x
_atom_site_fract_y
_atom_site_fract_z
Ce1 Ce 0.0000 0.0000 0.0000
Pr1 Pr 0.0000 0.5000 0.5000
Ga1 Ga 0.5000 0.5000 0.0000
# Total magnetization, μB/f.u.: 0.59
# D(E_F), states/eV/f.u.: 7.4


Q:
# CePr2Ga (PBE, relaxed)
data_CePr2Ga
_cell_length_a 3.6195
_cell_length_b 3.6195
_cell_length_c 8.8834
_cell_angle_alpha 90.00
_cell_angle_beta 90.00
_cell_angle_gamma 90.00
_space_group_name_H-M_alt 'P 4/m m m'
_space_group_IT_number 123
_space_group_name_Hall '-P 4 2'
loop_
_atom_site_label
_atom_site_type_symbol
_atom_site_fract_x
_atom_site_fract_y
_atom_site_fract_z
Ce1 Ce 0.0000 0.0000 0.0000
Pr1 Pr 0.5000 0.5000 0.2805
Ga1 Ga 0.0000 0.0000 0.5000
# Total magnetization, μB/f.u.: 0.45
# D(E_F), states/eV/f.u.: 5.8


R:
# CePr2Ga (PBE, relaxed)
data_CePr2Ga
_cell_length_a 3.6948
_cell_length_b 3.6948
_cell_length_c 31.5971
_cell_angle_alpha 90.00
_cell_angle_beta 90.00
_cell_angle_gamma 120.00
_space_group_name_H-M_alt 'R 3 m'
_space_group_IT_number 160
_space_group_name_Hall 'R 3 -2"'
loop_
_atom_site_label
_atom_site_type_symbol
_atom_site_fract_x
_atom_site_fract_y
_atom_site_fract_z
Ce1 Ce 0.0000 0.0000 0.0000
Pr1 Pr 0.0000 0.0000 0.2386
Pr2 Pr 0.0000 0.0000 0.4273
Ga1 Ga 0.0000 0.0000 0.8332
# Total magnetization, μB/f.u.: 1.46
# D(E_F), states/eV/f.u.: 7.0


S:
# CePr2Ga (PBE, relaxed)
data_CePr2Ga
_cell_length_a 7.6494
_cell_length_b 7.6494
_cell_length_c 7.6494
_cell_angle_alpha 90.00
_cell_angle_beta 90.00
_cell_angle_gamma 90.00
_space_group_name_H-M_alt 'F m -3 m'
_space_group_IT_number 225
_space_group_name_Hall '-F 4 2 3'
loop_
_atom_site_label
_atom_site_type_symbol
_atom_site_fract_x
_atom_site_fract_y
_atom_site_fract_z
Ce1 Ce 0.0000 0.0000 0.0000
Pr1 Pr 0.2500 0.2500 0.2500
Ga1 Ga 0.0000 0.0000 0.5000
# Total magnetization, μB/f.u.: 0.00
# D(E_F), states/eV/f.u.: 7.2


The structure with the greatest stability is P.


P:
# Ce2PrGa6 (PBE, relaxed)
data_Ce2PrGa6
_cell_length_a 4.5117
_cell_length_b 7.2424
_cell_length_c 12.8906
_cell_angle_alpha 90.00
_cell_angle_beta 90.00
_cell_angle_gamma 90.00
_space_group_name_H-M_alt 'I m m m'
_space_group_IT_number 71
_space_group_name_Hall '-I 2 2'
loop_
_atom_site_label
_atom_site_type_symbol
_atom_site_fract_x
_atom_site_fract_y
_atom_site_fract_z
Ce1 Ce 0.0000 0.0000 0.1083
Pr1 Pr 0.0000 0.5000 0.0000
Ga1 Ga 0.0000 0.1961 0.3097
Ga2 Ga 0.0000 0.3024 0.5000
# Total magnetization, μB/f.u.: 1.04
# D(E_F), states/eV/f.u.: 10.9


Q:
# Ce2PrGa6 (PBE, relaxed)
data_Ce2PrGa6
_cell_length_a 7.4157
_cell_length_b 7.4157
_cell_length_c 4.2517
_cell_angle_alpha 90.00
_cell_angle_beta 90.00
_cell_angle_gamma 120.00
_space_group_name_H-M_alt 'P 6/m m m'
_space_group_IT_number 191
_space_group_name_Hall '-P 6 2'
loop_
_atom_site_label
_atom_site_type_symbol
_atom_site_fract_x
_atom_site_fract_y
_atom_site_fract_z
Ce1 Ce 0.3333 0.6667 0.0000
Pr1 Pr 0.0000 0.0000 0.0000
Ga1 Ga 0.0000 0.3344 0.5000
# Total magnetization, μB/f.u.: 1.27
# D(E_F), states/eV/f.u.: 13.8


The structure with the greatest stability is Q.


P:
# CePrGaRu (PBE, relaxed)
data_CePrGaRu
_cell_length_a 3.7771
_cell_length_b 4.1403
_cell_length_c 12.3238
_cell_angle_alpha 90.00
_cell_angle_beta 90.00
_cell_angle_gamma 90.00
_space_group_name_H-M_alt 'A m m 2'
_space_group_IT_number 38
_space_group_name_Hall 'A 2 -2'
loop_
_atom_site_label
_atom_site_type_symbol
_atom_site_fract_x
_atom_site_fract_y
_atom_site_fract_z
Ce1 Ce 0.0000 0.0000 0.0000
Pr1 Pr 0.5000 0.0000 0.7213
Ga1 Ga 0.0000 0.0000 0.3158
Ru1 Ru 0.5000 0.0000 0.4652
# Total magnetization, μB/f.u.: 0.00
# D(E_F), states/eV/f.u.: 3.8


Q:
# CePrGaRu (PBE, relaxed)
data_CePrGaRu
_cell_length_a 7.1819
_cell_length_b 7.1819
_cell_length_c 7.1819
_cell_angle_alpha 90.00
_cell_angle_beta 90.00
_cell_angle_gamma 90.00
_space_group_name_H-M_alt 'F -4 3 m'
_space_group_IT_number 216
_space_group_name_Hall 'F -4 2 3'
loop_
_atom_site_label
_atom_site_type_symbol
_atom_site_fract_x
_atom_site_fract_y
_atom_site_fract_z
Ce1 Ce 0.0000 0.0000 0.0000
Pr1 Pr 0.0000 0.0000 0.5000
Ga1 Ga 0.2500 0.2500 0.2500
Ru1 Ru 0.2500 0.2500 0.7500
# Total magnetization, μB/f.u.: 0.41
# D(E_F), states/eV/f.u.: 5.3


The structure with the greatest stability is P.


P:
# CePrGaSi (PBE, relaxed)
data_CePrGaSi
_cell_length_a 7.3163
_cell_length_b 7.3163
_cell_length_c 7.3163
_cell_angle_alpha 90.00
_cell_angle_beta 90.00
_cell_angle_gamma 90.00
_space_group_name_H-M_alt 'F -4 3 m'
_space_group_IT_number 216
_space_group_name_Hall 'F -4 2 3'
loop_
_atom_site_label
_atom_site_type_symbol
_atom_site_fract_x
_atom_site_fract_y
_atom_site_fract_z
Ce1 Ce 0.0000 0.0000 0.0000
Pr1 Pr 0.0000 0.0000 0.5000
Ga1 Ga 0.2500 0.2500 0.2500
Si1 Si 0.2500 0.2500 0.7500
# Total magnetization, μB/f.u.: 1.21
# D(E_F), states/eV/f.u.: 7.4


Q:
# CePrGaSi (PBE, relaxed)
data_CePrGaSi
_cell_length_a 4.0476
_cell_length_b 4.4186
_cell_length_c 11.2415
_cell_angle_alpha 90.00
_cell_angle_beta 90.00
_cell_angle_gamma 90.00
_space_group_name_H-M_alt 'A m m 2'
_space_group_IT_number 38
_space_group_name_Hall 'A 2 -2'
loop_
_atom_site_label
_atom_site_type_symbol
_atom_site_fract_x
_atom_site_fract_y
_atom_site_fract_z
Ce1 Ce 0.0000 0.0000 0.0000
Pr1 Pr 0.5000 0.0000 0.7132
Ga1 Ga 0.0000 0.0000 0.2901
Si1 Si 0.5000 0.0000 0.4309
# Total magnetization, μB/f.u.: 1.44
# D(E_F), states/eV/f.u.: 6.3


The structure with the greatest stability is Q.


P:
# CeGa4Pt6 (PBE, relaxed)
data_CeGa4Pt6
_cell_length_a 7.3905
_cell_length_b 7.3905
_cell_length_c 3.9465
_cell_angle_alpha 90.00
_cell_angle_beta 90.00
_cell_angle_gamma 120.00
_space_group_name_H-M_alt 'P -6 m 2'
_space_group_IT_number 187
_space_group_name_Hall 'P -6 2'
loop_
_atom_site_label
_atom_site_type_symbol
_atom_site_fract_x
_atom_site_fract_y
_atom_site_fract_z
Ce1 Ce 0.0000 0.0000 0.0000
Ga1 Ga 0.3333 0.6667 0.0000
Ga2 Ga 0.3979 0.1989 0.5000
Pt1 Pt 0.1945 0.3891 0.5000
Pt2 Pt 0.5331 0.0663 0.0000
# Total magnetization, μB/f.u.: 0.55
# D(E_F), states/eV/f.u.: 9.3


Q:
# CeGa4Pt6 (PBE, relaxed)
data_CeGa4Pt6
_cell_length_a 6.7127
_cell_length_b 6.7127
_cell_length_c 9.3294
_cell_angle_alpha 90.00
_cell_angle_beta 90.00
_cell_angle_gamma 90.00
_space_group_name_H-M_alt 'I -4 2 m'
_space_group_IT_number 121
_space_group_name_Hall 'I -4 2'
loop_
_atom_site_label
_atom_site_type_symbol
_atom_site_fract_x
_atom_site_fract_y
_atom_site_fract_z
Ce1 Ce 0.0000 0.0000 0.0000
Ga1 Ga 0.2015 0.2015 0.6741
Pt1 Pt 0.0000 0.5000 0.0000
Pt2 Pt 0.1632 0.1632 0.3919
# Total magnetization, μB/f.u.: 0.79
# D(E_F), states/eV/f.u.: 11.8


The structure with the greatest stability is P.


P:
# CeGa4Pt2 (PBE, relaxed)
data_CeGa4Pt2
_cell_length_a 7.7012
_cell_length_b 7.7012
_cell_length_c 4.3844
_cell_angle_alpha 90.00
_cell_angle_beta 90.00
_cell_angle_gamma 90.00
_space_group_name_H-M_alt 'P 42/m n m'
_space_group_IT_number 136
_space_group_name_Hall '-P 4n 2n'
loop_
_atom_site_label
_atom_site_type_symbol
_atom_site_fract_x
_atom_site_fract_y
_atom_site_fract_z
Ce1 Ce 0.0000 0.0000 0.0000
Ga1 Ga 0.0902 0.3374 0.5000
Pt1 Pt 0.2149 0.7851 0.5000
# Total magnetization, μB/f.u.: 0.86
# D(E_F), states/eV/f.u.: 7.5


Q:
# CeGa4Pt2 (PBE, relaxed)
data_CeGa4Pt2
_cell_length_a 17.3082
_cell_length_b 4.3926
_cell_length_c 6.6394
_cell_angle_alpha 90.00
_cell_angle_beta 90.00
_cell_angle_gamma 90.00
_space_group_name_H-M_alt 'P n m a'
_space_group_IT_number 62
_space_group_name_Hall '-P 2ac 2n'
loop_
_atom_site_label
_atom_site_type_symbol
_atom_site_fract_x
_atom_site_fract_y
_atom_site_fract_z
Ce1 Ce 0.1394 0.2500 0.0102
Ga1 Ga 0.0372 0.7500 0.8378
Ga2 Ga 0.0697 0.2500 0.4845
Ga3 Ga 0.1834 0.7500 0.3189
Ga4 Ga 0.1890 0.7500 0.7229
Pt1 Pt 0.0356 0.7500 0.2437
Pt2 Pt 0.2163 0.2500 0.5248
# Total magnetization, μB/f.u.: 0.15
# D(E_F), states/eV/f.u.: 4.7


The structure with the greatest stability is Q.


P:
# Ce2Ga3Pt5 (PBE, relaxed)
data_Ce2Ga3Pt5
_cell_length_a 11.3359
_cell_length_b 11.5842
_cell_length_c 5.7905
_cell_angle_alpha 90.00
_cell_angle_beta 90.00
_cell_angle_gamma 90.00
_space_group_name_H-M_alt 'I b a m'
_space_group_IT_number 72
_space_group_name_Hall '-I 2 2c'
loop_
_atom_site_label
_atom_site_type_symbol
_atom_site_fract_x
_atom_site_fract_y
_atom_site_fract_z
Ce1 Ce 0.1301 0.2287 0.0000
Ga1 Ga 0.0000 0.5000 0.2500
Ga2 Ga 0.1368 0.1169 0.5000
Pt1 Pt 0.0000 0.0000 0.2500
Pt2 Pt 0.1038 0.3278 0.5000
Pt3 Pt 0.2268 0.5000 0.2500
# Total magnetization, μB/f.u.: 1.07
# D(E_F), states/eV/f.u.: 10.0


Q:
# Ce2Ga3Pt5 (PBE, relaxed)
data_Ce2Ga3Pt5
_cell_length_a 4.2092
_cell_length_b 25.0699
_cell_length_c 7.0763
_cell_angle_alpha 90.00
_cell_angle_beta 90.00
_cell_angle_gamma 90.00
_space_group_name_H-M_alt 'C m c 21'
_space_group_IT_number 36
_space_group_name_Hall 'C 2c -2'
loop_
_atom_site_label
_atom_site_type_symbol
_atom_site_fract_x
_atom_site_fract_y
_atom_site_fract_z
Ce1 Ce 0.0000 0.0209 0.0000
Ce2 Ce 0.0000 0.3246 0.9293
Ga1 Ga 0.0000 0.1247 0.7708
Ga2 Ga 0.0000 0.2821 0.3821
Ga3 Ga 0.0000 0.4497 0.8250
Pt1 Pt 0.0000 0.1023 0.2817
Pt2 Pt 0.0000 0.2008 0.1115
Pt3 Pt 0.0000 0.2229 0.6778
Pt4 Pt 0.0000 0.3806 0.5108
Pt5 Pt 0.0000 0.4504 0.1975
# Total magnetization, μB/f.u.: 0.42
# D(E_F), states/eV/f.u.: 8.8


The structure with the greatest stability is P.


P:
# Ce3Ga8Pt3 (PBE, relaxed)
data_Ce3Ga8Pt3
_cell_length_a 15.8973
_cell_length_b 4.5300
_cell_length_c 8.8920
_cell_angle_alpha 90.00
_cell_angle_beta 123.62
_cell_angle_gamma 90.00
_space_group_name_H-M_alt 'C 1 2/m 1'
_space_group_IT_number 12
_space_group_name_Hall '-C 2y'
loop_
_atom_site_label
_atom_site_type_symbol
_atom_site_fract_x
_atom_site_fract_y
_atom_site_fract_z
Ce1 Ce 0.0000 0.0000 0.0000
Ce2 Ce 0.2147 0.5000 0.7113
Ga1 Ga 0.0020 0.5000 0.6712
Ga2 Ga 0.1410 0.0000 0.4311
Ga3 Ga 0.1522 0.0000 0.8635
Ga4 Ga 0.1530 0.5000 0.2902
Pt1 Pt 0.0000 0.0000 0.5000
Pt2 Pt 0.1478 0.5000 0.0021
# Total magnetization, μB/f.u.: 1.20
# D(E_F), states/eV/f.u.: 14.4


Q:
# Ce3Ga8Pt3 (PBE, relaxed)
data_Ce3Ga8Pt3
_cell_length_a 4.3204
_cell_length_b 9.8439
_cell_length_c 12.5281
_cell_angle_alpha 90.00
_cell_angle_beta 90.00
_cell_angle_gamma 90.00
_space_group_name_H-M_alt 'I m m m'
_space_group_IT_number 71
_space_group_name_Hall '-I 2 2'
loop_
_atom_site_label
_atom_site_type_symbol
_atom_site_fract_x
_atom_site_fract_y
_atom_site_fract_z
Ce1 Ce 0.0000 0.0000 0.0000
Ce2 Ce 0.0000 0.0000 0.3168
Ga1 Ga 0.0000 0.2802 0.1298
Ga2 Ga 0.0000 0.3704 0.3343
Pt1 Pt 0.0000 0.2126 0.5000
Pt2 Pt 0.0000 0.5000 0.0000
# Total magnetization, μB/f.u.: 1.97
# D(E_F), states/eV/f.u.: 18.5


The structure with the greatest stability is P.


P:
# CePuGaPt (PBE, relaxed)
data_CePuGaPt
_cell_length_a 4.7234
_cell_length_b 4.7234
_cell_length_c 5.2797
_cell_angle_alpha 90.00
_cell_angle_beta 90.00
_cell_angle_gamma 120.00
_space_group_name_H-M_alt 'P 3 m 1'
_space_group_IT_number 156
_space_group_name_Hall 'P 3 -2"'
loop_
_atom_site_label
_atom_site_type_symbol
_atom_site_fract_x
_atom_site_fract_y
_atom_site_fract_z
Ce1 Ce 0.0000 0.0000 0.0000
Pu1 Pu 0.3333 0.6667 0.4660
Ga1 Ga 0.6667 0.3333 0.7325
Pt1 Pt 0.6667 0.3333 0.2365
# Total magnetization, μB/f.u.: 6.67
# D(E_F), states/eV/f.u.: 13.4


Q:
# CePuGaPt (PBE, relaxed)
data_CePuGaPt
_cell_length_a 7.1530
_cell_length_b 7.1530
_cell_length_c 7.1530
_cell_angle_alpha 90.00
_cell_angle_beta 90.00
_cell_angle_gamma 90.00
_space_group_name_H-M_alt 'F -4 3 m'
_space_group_IT_number 216
_space_group_name_Hall 'F -4 2 3'
loop_
_atom_site_label
_atom_site_type_symbol
_atom_site_fract_x
_atom_site_fract_y
_atom_site_fract_z
Ce1 Ce 0.0000 0.0000 0.0000
Pu1 Pu 0.0000 0.0000 0.5000
Ga1 Ga 0.2500 0.2500 0.7500
Pt1 Pt 0.2500 0.2500 0.2500
# Total magnetization, μB/f.u.: 5.84
# D(E_F), states/eV/f.u.: 11.9


The structure with the greatest stability is Q.


P:
# CeTmGaPt (PBE, relaxed)
data_CeTmGaPt
_cell_length_a 4.4702
_cell_length_b 3.8057
_cell_length_c 10.8718
_cell_angle_alpha 90.00
_cell_angle_beta 90.00
_cell_angle_gamma 90.00
_space_group_name_H-M_alt 'A m m 2'
_space_group_IT_number 38
_space_group_name_Hall 'A 2 -2'
loop_
_atom_site_label
_atom_site_type_symbol
_atom_site_fract_x
_atom_site_fract_y
_atom_site_fract_z
Ce1 Ce 0.0000 0.0000 0.0000
Tm1 Tm 0.5000 0.0000 0.7166
Ga1 Ga 0.5000 0.0000 0.4300
Pt1 Pt 0.0000 0.0000 0.2764
# Total magnetization, μB/f.u.: 0.66
# D(E_F), states/eV/f.u.: 6.3


Q:
# CeTmGaPt (PBE, relaxed)
data_CeTmGaPt
_cell_length_a 7.1208
_cell_length_b 7.1208
_cell_length_c 7.1208
_cell_angle_alpha 90.00
_cell_angle_beta 90.00
_cell_angle_gamma 90.00
_space_group_name_H-M_alt 'F -4 3 m'
_space_group_IT_number 216
_space_group_name_Hall 'F -4 2 3'
loop_
_atom_site_label
_atom_site_type_symbol
_atom_site_fract_x
_atom_site_fract_y
_atom_site_fract_z
Ce1 Ce 0.0000 0.0000 0.0000
Tm1 Tm 0.0000 0.0000 0.5000
Ga1 Ga 0.2500 0.2500 0.7500
Pt1 Pt 0.2500 0.2500 0.2500
# Total magnetization, μB/f.u.: 0.49
# D(E_F), states/eV/f.u.: 5.4


The structure with the greatest stability is P.


P:
# CeYGaPt (PBE, relaxed)
data_CeYGaPt
_cell_length_a 4.5060
_cell_length_b 3.8852
_cell_length_c 10.8376
_cell_angle_alpha 90.00
_cell_angle_beta 90.00
_cell_angle_gamma 90.00
_space_group_name_H-M_alt 'A m m 2'
_space_group_IT_number 38
_space_group_name_Hall 'A 2 -2'
loop_
_atom_site_label
_atom_site_type_symbol
_atom_site_fract_x
_atom_site_fract_y
_atom_site_fract_z
Ce1 Ce 0.0000 0.0000 0.0000
Y1 Y 0.5000 0.0000 0.7173
Ga1 Ga 0.5000 0.0000 0.4322
Pt1 Pt 0.0000 0.0000 0.2815
# Total magnetization, μB/f.u.: 0.77
# D(E_F), states/eV/f.u.: 6.9


Q:
# CeYGaPt (PBE, relaxed)
data_CeYGaPt
_cell_length_a 7.1773
_cell_length_b 7.1773
_cell_length_c 7.1773
_cell_angle_alpha 90.00
_cell_angle_beta 90.00
_cell_angle_gamma 90.00
_space_group_name_H-M_alt 'F -4 3 m'
_space_group_IT_number 216
_space_group_name_Hall 'F -4 2 3'
loop_
_atom_site_label
_atom_site_type_symbol
_atom_site_fract_x
_atom_site_fract_y
_atom_site_fract_z
Ce1 Ce 0.0000 0.0000 0.0000
Y1 Y 0.0000 0.0000 0.5000
Ga1 Ga 0.2500 0.2500 0.2500
Pt1 Pt 0.2500 0.2500 0.7500
# Total magnetization, μB/f.u.: 0.56
# D(E_F), states/eV/f.u.: 6.1


The structure with the greatest stability is P.